A plane-wave DFT calculation with GGA-PBE was carried out for a relaxed structure of HfGeNO.

a = 3.5773 Å, b = 5.8882 Å, c = 6.4007 Å
α = 90.00°, β = 90.00°, γ = 90.00°
Closest atoms and distances in Å follow each position.
Element x y z (fractional)
Ge  0.0000  0.5651  0.3558  1 N 1.98
Ge  0.0000  0.0651  0.6442  1 N 1.98
Hf  0.5000  0.9741  0.1907  2 O 1.94-1.95, 2 N 2.07
Hf  0.5000  0.4741  0.8093  2 O 1.94-1.95, 2 N 2.07
N  0.0000  0.9527  0.3522  1 Ge 1.98, 2 Hf 2.07
N  0.0000  0.4527  0.6478  1 Ge 1.98, 2 Hf 2.07
O  0.5000  0.2621  0.0426  2 Hf 1.94-1.95
O  0.5000  0.7621  0.9574  2 Hf 1.94-1.95

Summary:
The relative energy among the computed polymorphs comes out at 0.026 eV/atom.